Compound: YCr3Tc
Source: the Alexandria database
Functional: GGA-PBEsol
Structure: optimized geometry

Computed properties:
The density is 6.14 g/cm³. The space-group type is No. 221. For the formation energy from the elements, the calculation gives 22.0 kcal/mol of atoms. The value obtained for the total magnetization is 6.28 μB per cell.

a b c (Å): 4.5253 4.5253 4.5253
angles (deg): 90.00 90.00 90.00
Element x y z (fractional)
Y  0.0000  0.0000  0.0000
Cr  0.0000  0.5000  0.5000
Cr  0.5000  0.0000  0.5000
Cr  0.5000  0.5000  0.0000
Tc  0.5000  0.5000  0.5000

Compound: MnSbPb2
Source: the Alexandria database
Functional: GGA-PBEsol
Structure: optimized geometry

Computed properties:
The density is 9.46 g/cm³. The space-group type is No. 69. Its formation energy from raw total energies is 0.40 eV/atom. The value obtained for the total magnetization is 16.86 μB per cell.

a b c (Å): 5.9959 6.3402 10.9151
angles (deg): 90.00 90.00 90.00
Element x y z (fractional)
Mn  0.0000  0.0000  0.0000
Mn  0.0000  0.5000  0.5000
Mn  0.5000  0.0000  0.5000
Mn  0.5000  0.5000  0.0000
Sb  0.0000  0.0000  0.5000
Sb  0.0000  0.5000  0.0000
Sb  0.5000  0.0000  0.0000
Sb  0.5000  0.5000  0.5000
Pb  0.0000  0.2500  0.2500
Pb  0.0000  0.2500  0.7500
Pb  0.0000  0.7500  0.2500
Pb  0.0000  0.7500  0.7500
Pb  0.5000  0.2500  0.2500
Pb  0.5000  0.2500  0.7500
Pb  0.5000  0.7500  0.2500
Pb  0.5000  0.7500  0.7500

Compound: NaNi3O5
Source: the Alexandria database
Functional: GGA-PBEsol
Structure: optimized geometry

Computed properties:
The density is 5.30 g/cm³. The space-group type is No. 62. Its formation energy from raw total energies is -0.96 eV/atom. The value obtained for the total magnetization is 0.00 μB per cell.

a b c (Å): 8.2940 2.8483 14.7965
angles (deg): 90.00 90.00 90.00
Element x y z (fractional)
Na  0.0419  0.2500  0.1365
Na  0.4581  0.7500  0.6365
Na  0.5419  0.2500  0.3635
Na  0.9581  0.7500  0.8635
Ni  0.1016  0.2500  0.6491
Ni  0.1654  0.7500  0.4863
Ni  0.1947  0.2500  0.3176
Ni  0.3053  0.7500  0.8176
Ni  0.3346  0.2500  0.9863
Ni  0.3984  0.7500  0.1491
Ni  0.6016  0.2500  0.8509
Ni  0.6654  0.7500  0.0137
Ni  0.6947  0.2500  0.1824
Ni  0.8053  0.7500  0.6824
Ni  0.8346  0.2500  0.5137
Ni  0.8984  0.7500  0.3509
O  0.0270  0.2500  0.4274
O  0.0702  0.7500  0.2716
O  0.1949  0.7500  0.7075
O  0.2008  0.2500  0.8796
O  0.2467  0.7500  0.0544
O  0.2533  0.2500  0.5544
O  0.2992  0.7500  0.3796
O  0.3051  0.2500  0.2075
O  0.4298  0.2500  0.7716
O  0.4730  0.7500  0.9274
O  0.5270  0.2500  0.0726
O  0.5702  0.7500  0.2284
O  0.6949  0.7500  0.7925
O  0.7008  0.2500  0.6204
O  0.7467  0.7500  0.4456
O  0.7533  0.2500  0.9456
O  0.7992  0.7500  0.1204
O  0.8051  0.2500  0.2925
O  0.9298  0.2500  0.7284
O  0.9730  0.7500  0.5726